# 1
{
  "formula": "KRb2CCl6",
  "functional": "PBE-GGA",
  "state": "relaxed",
  "crystal_system": "tetragonal",
  "density_g_cm3": 2.537,
  "lattice": [[7.385, 0.000, 0.000], [0.000, 7.385, 0.000], [3.693, 3.693, 5.217]],
  "species": ["Cl", "Cl", "Cl", "Cl", "Cl", "Cl", "Rb", "Rb", "C", "K"],
  "fractional_positions": [[0.286, 0.714, 0.000], [0.286, 0.286, 0.000], [0.714, 0.286, 0.000], [0.714, 0.714, 0.573], [0.286, 0.286, 0.427], [0.714, 0.714, 0.000], [0.750, 0.250, 0.500], [0.250, 0.750, 0.500], [0.500, 0.500, 0.000], [0.000, 0.000, 0.000]]
}



# 2
{
  "formula": "KSiC2Cl",
  "functional": "PBE-GGA",
  "state": "relaxed",
  "crystal_system": "tetragonal",
  "density_g_cm3": 2.210,
  "lattice": [[-2.205, -3.002, -0.737], [4.515, -3.982, 2.707], [-1.676, 0.400, 3.384]],
  "species": ["Si", "C", "C", "Cl", "K"],
  "fractional_positions": [[0.000, 0.000, 0.000], [0.500, 0.000, 0.000], [0.000, 0.000, 0.500], [0.000, 0.500, 0.000], [0.500, 0.500, 0.500]]
}



| no. | uncorrected formation energy (eV per atom) | E (eV per atom) | D(E_F) (states/eV per cell) |
| --- | --- | --- | --- |
| 1 | -0.7048 | -3.04 | 3.78 |
| 2 | 0.8543 | -4.51 | 2.38 |